## K3Na7Tl2 (PBE)

Data for a relaxed K3Na7Tl2 crystal.

Structure (POSCAR):
```
K3Na7Tl2
1.0
3.577 2.065 11.310
-3.577 2.065 11.310
0.000 -4.130 11.310
K Na Tl
3 7 2
direct
0.000 0.000 0.000
0.143 0.143 0.143
0.857 0.857 0.857
0.074 0.576 0.576
0.424 0.424 0.926
0.424 0.926 0.424
0.500 0.500 0.500
0.576 0.074 0.576
0.576 0.576 0.074
0.926 0.424 0.424
0.333 0.333 0.333
0.667 0.667 0.667
```

Space-group type   No. 166
Electronic total energy   -17.7 eV/f.u.
Formation enthalpy at 0 K   -0.036 eV per atom

## MnIn2Hg (PBE)

Data for a relaxed MnIn2Hg crystal.

Structure (POSCAR):
```
MnIn2Hg
1.0
4.465 0.000 0.000
0.000 4.465 0.000
0.000 0.000 4.326
Mn In Hg
1 2 1
direct
0.000 0.000 0.000
0.000 0.500 0.500
0.500 0.000 0.500
0.500 0.500 0.000
```

Space-group type   No. 123
Electronic total energy   -14.0 eV/f.u.
Formation enthalpy at 0 K   0.229 eV per atom

## SrPr3Pu2Te6 (PBE)

Data for a relaxed SrPr3Pu2Te6 crystal.

Structure (POSCAR):
```
SrPr3Pu2Te6
1.0
3.914 -6.777 0.000
3.914 6.777 0.000
-2.614 0.000 7.439
Sr Pr Pu Te
1 3 2 6
direct
0.000 0.000 0.000
0.162 0.838 0.500
0.500 0.500 0.500
0.838 0.162 0.500
0.333 0.667 0.000
0.667 0.333 0.000
0.083 0.424 0.248
0.260 0.260 0.756
0.424 0.083 0.248
0.576 0.917 0.752
0.740 0.740 0.244
0.917 0.576 0.752
```

Energy relative to the elements, uncorrected   -16.34 eV/f.u.
Space-group type   No. 12
Electronic total energy   -79.9 eV/f.u.

## Ho4NiS3 (PBE)

Data for a relaxed Ho4NiS3 crystal.

Structure (POSCAR):
```
Ho4NiS3
1.0
3.968 -5.555 0.000
3.968 5.555 0.000
0.000 0.000 3.828
Ho Ni S
4 1 3
direct
0.239 0.239 0.500
0.247 0.753 0.000
0.753 0.247 0.000
0.761 0.761 0.500
0.000 0.000 0.000
0.000 0.500 0.500
0.500 0.000 0.500
0.500 0.500 0.000
```

Energy relative to the elements, uncorrected   -12.49 eV/f.u.
Space-group type   No. 65
Electronic total energy   -49.0 eV/f.u.

## SmYTm2Te6 (PBE)

Data for a relaxed SmYTm2Te6 crystal.

Structure (POSCAR):
```
SmYTm2Te6
1.0
3.849 2.222 7.002
-3.849 2.222 7.002
0.000 -4.444 7.002
Sm Y Tm Te
1 1 2 6
direct
0.000 0.000 0.000
0.502 0.502 0.502
0.187 0.187 0.187
0.688 0.688 0.688
0.089 0.417 0.786
0.293 0.914 0.581
0.417 0.786 0.089
0.581 0.293 0.914
0.786 0.089 0.417
0.914 0.581 0.293
```

Energy relative to the elements, uncorrected   -13.54 eV/f.u.
Space-group type   No. 146
Electronic total energy   -52.5 eV/f.u.

## NaTb2Pm3S6 (PBE)

Data for a relaxed NaTb2Pm3S6 crystal.

Structure (POSCAR):
```
NaTb2Pm3S6
1.0
8.716 -1.993 0.000
8.716 1.993 0.000
-1.834 0.000 7.797
Na Tb Pm S
1 2 3 6
direct
0.000 0.000 0.000
0.334 0.334 0.662
0.666 0.666 0.338
0.000 0.000 0.500
0.338 0.338 0.173
0.662 0.662 0.827
0.168 0.168 0.089
0.168 0.168 0.579
0.496 0.496 0.750
0.504 0.504 0.250
0.832 0.832 0.421
0.832 0.832 0.911
```

Energy relative to the elements, uncorrected   -23.50 eV/f.u.
Space-group type   No. 12
Electronic total energy   -73.1 eV/f.u.

## NdTm6Tl6 (PBE)

Data for a relaxed NdTm6Tl6 crystal.

Structure (POSCAR):
```
NdTm6Tl6
1.0
6.760 0.000 0.000
-3.380 5.855 0.000
0.000 0.000 9.871
Nd Tm Tl
1 6 6
direct
0.000 0.000 0.000
0.000 0.500 0.245
0.000 0.500 0.755
0.500 0.000 0.245
0.500 0.000 0.755
0.500 0.500 0.245
0.500 0.500 0.755
0.000 0.000 0.319
0.000 0.000 0.681
0.333 0.667 0.000
0.333 0.667 0.500
0.667 0.333 0.000
0.667 0.333 0.500
```

Space-group type   No. 191
Electronic total energy   -47.6 eV/f.u.
Formation enthalpy at 0 K   -0.135 eV per atom

## CePm2ErP4 (PBE)

Data for a relaxed CePm2ErP4 crystal.

Structure (POSCAR):
```
CePm2ErP4
1.0
7.048 0.000 0.000
0.000 4.078 0.000
-2.346 0.000 6.665
Ce Pm Er P
1 2 1 4
direct
0.000 0.000 0.000
0.000 0.500 0.500
0.500 0.000 0.500
0.500 0.500 0.000
0.249 0.500 0.242
0.254 0.000 0.759
0.746 0.000 0.241
0.751 0.500 0.758
```

Space-group type   No. 10
Electronic total energy   -54.1 eV/f.u.
Formation enthalpy at 0 K   -1.562 eV per atom

## MgCdSb (PBE)

Data for a relaxed MgCdSb crystal.

Structure (POSCAR):
```
MgCdSb
1.0
5.137 0.000 0.000
-2.569 4.449 0.000
0.000 0.000 3.266
Mg Cd Sb
1 1 1
direct
0.000 0.000 0.000
0.333 0.667 0.570
0.667 0.333 0.463
```

Energy relative to the elements, uncorrected   0.01 eV/f.u.
Space-group type   No. 156
Electronic total energy   -6.6 eV/f.u.

## V4ReIr2 (PBE)

Data for a relaxed V4ReIr2 crystal.

Structure (POSCAR):
```
V4ReIr2
1.0
-2.264 2.264 6.214
2.264 -2.264 6.214
2.264 2.264 -6.214
V Re Ir
4 1 2
direct
0.000 0.500 0.500
0.196 0.196 0.000
0.500 0.000 0.500
0.804 0.804 0.000
0.000 0.000 0.000
0.387 0.387 0.000
0.613 0.613 0.000
```

Space-group type   No. 139
Electronic total energy   -60.4 eV/f.u.
Formation enthalpy at 0 K   0.891 eV per atom

## FeRhS2 (PBE)

Data for a relaxed FeRhS2 crystal.

Structure (POSCAR):
```
FeRhS2
1.0
1.670 0.964 6.970
-1.670 0.964 6.970
0.000 -1.929 6.970
Fe Rh S
1 1 2
direct
0.000 0.000 0.000
0.500 0.500 0.500
0.101 0.101 0.101
0.899 0.899 0.899
```

Energy relative to the elements, uncorrected   0.61 eV/f.u.
Space-group type   No. 166
Electronic total energy   -23.5 eV/f.u.

## CsCa2NiN (PBE)

Data for a relaxed CsCa2NiN crystal.

Structure (POSCAR):
```
CsCa2NiN
1.0
5.374 0.000 0.000
0.000 5.374 0.000
0.000 0.000 3.820
Cs Ca Ni N
1 2 1 1
direct
0.000 0.000 0.000
0.000 0.500 0.500
0.500 0.000 0.500
0.500 0.500 0.000
0.500 0.500 0.500
```

Energy relative to the elements, uncorrected   1.57 eV/f.u.
Space-group type   No. 123
Electronic total energy   -17.4 eV/f.u.